The following is a DFT calculation (GGA+U) of CoSiBO2 after structural relaxation.

Geometry as CIF:
```
data_CoSiBO2
_chemical_formula_sum 'Co1 Si1 B1 O2'
_cell_length_a 3.030
_cell_length_b 3.030
_cell_length_c 7.559
_cell_angle_alpha 90.00
_cell_angle_beta 90.00
_cell_angle_gamma 90.00
_symmetry_space_group_name_H-M 'P 4/m m m'
_symmetry_Int_Tables_number 123
_symmetry_space_group_name_Hall '-P 4 2'
loop_
_atom_site_label
_atom_site_type_symbol
_atom_site_fract_x
_atom_site_fract_y
_atom_site_fract_z
Co1 Co 0.000 0.000 0.000
Si1 Si 0.500 0.500 0.000
B1 B 0.000 0.000 0.500
O1 O 0.000 0.500 0.500
```

Results
ρ, kg/m³: 3106
DFT total energy, eV/atom: -5.4427
Total magnetic moment, μB per cell: 0.00
N(E_F), states/eV/cell: 2.99